Entry 1:
## CsTl2SnF (PBE)

Data for a relaxed structure of CsTl2SnF.

abc: 6.2531 6.2531 4.7508
angles: 90.00 90.00 90.00
Space group P4/mmm (No. 123)
Symmetry-distinct sites (fractional):
Cs (0.0000, 0.0000, 0.0000) [1 per cell]
Tl (0.0000, 0.5000, 0.5000) [2 per cell]
Sn (0.5000, 0.5000, 0.5000) [1 per cell]
F (0.5000, 0.5000, 0.0000) [1 per cell]

Results
Density of states at the Fermi level   2.6 states/eV per cell
Formation energy (no corrections)   -542 meV/atom
Total magnetic moment   0.000 μB per atom

---

Entry 2:
## TbNd3Er6Th2 (PBE)

Data for a relaxed structure of TbNd3Er6Th2.

abc: 6.1925 10.7212 11.7317
angles: 90.00 100.16 90.00
Space group C2/m (No. 12)
Symmetry-distinct sites (fractional):
Tb (0.0000, 0.0000, 0.0000) [2 per cell]
Nd (0.0000, 0.1662, 0.5000) [4 per cell]
Nd (0.0000, 0.5000, 0.5000) [2 per cell]
Er (0.2442, 0.5000, 0.2453) [4 per cell]
Er (0.2494, 0.3312, 0.7551) [8 per cell]
Th (0.0000, 0.3334, 0.0000) [4 per cell]

Results
Density of states at the Fermi level   30.9 states/eV per cell
Formation energy from the elements   0.02 eV/atom
Total magnetic moment   0.000 μB per atom

---

Entry 3:
## Mg2CdBi (PBE)

Data for a relaxed structure of Mg2CdBi.

abc: 4.8118 4.8118 4.2529
angles: 90.00 90.00 90.00
Space group P4/mmm (No. 123)
Symmetry-distinct sites (fractional):
Mg (0.0000, 0.5000, 0.0000) [2 per cell]
Cd (0.0000, 0.0000, 0.5000) [1 per cell]
Bi (0.5000, 0.5000, 0.5000) [1 per cell]

Results
Density of states at the Fermi level   1.6 states/eV per cell
Formation energy from the elements   -0.10 eV/atom
ΔE to the lowest computed polymorph   0.00 eV per formula unit
Total magnetic moment   0.000 μB per atom

---

Entry 4:
## AlW2Au (PBE)

Data for a relaxed structure of AlW2Au.

abc: 2.7527 2.7527 8.5612
angles: 90.00 90.00 90.00
Space group P4mm (No. 99)
Symmetry-distinct sites (fractional):
Al (0.0000, 0.0000, 0.0000) [1 per cell]
W (0.0000, 0.0000, 0.5038) [1 per cell]
W (0.5000, 0.5000, 0.7651) [1 per cell]
Au (0.5000, 0.5000, 0.2440) [1 per cell]

Results
Density of states at the Fermi level   2.7 states/eV per cell
Formation energy from the elements   0.17 eV/atom
Total magnetic moment   0.000 μB per atom

---

Entry 5:
## NaTl2 (PBE)

Data for a relaxed structure of NaTl2.

abc: 11.4639 11.4639 11.4639
angles: 90.00 90.00 90.00
Space group Fd-3m (No. 227, origin choice 2)
Symmetry-distinct sites (fractional):
Na (0.0000, 0.0000, 0.0000) [16 per cell]
Tl (0.0248, 0.0248, 0.7252) [32 per cell]

Results
Density of states at the Fermi level   26.0 states/eV per cell
Formation energy from the elements   0.02 eV/atom
ΔE to the lowest computed polymorph   0.39 eV per formula unit
Total magnetic moment   0.000 μB per atom

---

Entry 6:
## CsBiPb2Cl8 (PBE)

Data for a relaxed structure of CsBiPb2Cl8.

abc: 6.7233 6.9577 9.1852
angles: 89.79 89.76 88.95
Space group P-1 (No. 2)
Symmetry-distinct sites (fractional):
Cs (0.0000, 0.0000, 0.0000) [1 per cell]
Bi (0.0000, 0.0000, 0.5000) [1 per cell]
Pb (0.4994, 0.4998, 0.2499) [2 per cell]
Cl (0.2437, 0.8372, 0.7056) [2 per cell]
Cl (0.2451, 0.3177, 0.4994) [2 per cell]
Cl (0.2448, 0.8384, 0.2938) [2 per cell]
Cl (0.2740, 0.3966, 0.0017) [2 per cell]

Results
Density of states at the Fermi level   0.0 states/eV per cell
Formation energy (no corrections)   -1227 meV/atom
Total magnetic moment   0.000 μB per atom